# 1
VASP calculation (GGA-PBE) on an optimized crystal structure of Ca4Tl7Ga.

Unit cell a=5.484 b=7.675 c=9.114 alpha=67.34 beta=89.23 gamma=89.54
Space group P-1 (No. 2)
Symmetry-distinct sites (fractional):
Ca: 0.236 0.404 0.205 [2 per cell]
Ca: 0.242 0.896 0.234 [2 per cell]
Tl: 0.248 0.304 0.866 [2 per cell]
Tl: 0.250 0.070 0.550 [2 per cell]
Tl: 0.259 0.793 0.898 [2 per cell]
Tl: 0.500 0.500 0.500 [1 per cell]
Ga: 0.000 0.500 0.500 [1 per cell]


# 2
VASP calculation (GGA-PBE) on an optimized crystal structure of KLiCu2.

Computed properties:
**Polymorph energy (0 for the lowest one)**: 31.3 kJ per mole of atoms

Unit cell a=2.981 b=5.102 c=9.948 alpha=90.00 beta=90.00 gamma=90.00
Space group Immm (No. 71)
Symmetry-distinct sites (fractional):
K: 0.000 0.000 0.000 [2 per cell]
Li: 0.000 0.000 0.500 [2 per cell]
Cu: 0.000 0.500 0.215 [4 per cell]


# 3
VASP calculation (GGA-PBE) on an optimized crystal structure of Dy5Er2In5.

Unit cell a=11.884 b=5.086 c=11.848 alpha=90.00 beta=110.09 gamma=90.00
Space group C2/m (No. 12)
Symmetry-distinct sites (fractional):
Dy: 0.000 0.000 0.000 [2 per cell]
Dy: 0.133 0.000 0.775 [4 per cell]
Dy: 0.152 0.000 0.500 [4 per cell]
Er: 0.074 0.500 0.258 [4 per cell]
In: 0.000 0.500 0.500 [2 per cell]
In: 0.167 0.500 0.965 [4 per cell]
In: 0.235 0.000 0.276 [4 per cell]


# 4
VASP calculation (GGA-PBE) on an optimized crystal structure of PmPa2Sn.

Computed properties:
**Polymorph energy (0 for the lowest one)**: 37.2 kJ per mole of atoms

Unit cell a=7.557 b=7.557 c=7.557 alpha=90.00 beta=90.00 gamma=90.00
Space group Fm-3m (No. 225)
Symmetry-distinct sites (fractional):
Pm: 0.000 0.000 0.000 [4 per cell]
Pa: 0.250 0.250 0.250 [8 per cell]
Sn: 0.000 0.000 0.500 [4 per cell]


The calculation returns the following DFT formation energy values, one per record and in order: -0.245, 0.475, -0.305, 0.239 eV/atom.